# 1
## LaYSn (PBE)

Data for a geometry-optimized LaYSn structure.

Calculated values
Total magnetic moment ... 0.00 μB per cell
DFT formation energy ... -390 meV/atom
SG ... R3m, No. 160
Final energy ... -16.6 eV/cell
Volume ... 31.81 Å³/atom
Relative energy among the computed polymorphs ... 0.78 eV/f.u.

Cell lengths 4.746, 4.746, 4.746 Å; angles 73.17, 73.17, 73.17 degrees
Fractional coordinates of all 3 atoms:
La 0.000 0.000 0.000
Y 0.398 0.398 0.398
Sn 0.695 0.695 0.695

# 2
## NaTi2PtI (PBE)

Data for a geometry-optimized NaTi2PtI structure.

Calculated values
Total magnetic moment ... 0.00 μB per cell
SG ... P4/mmm, No. 123
Final energy ... -19.7 eV/cell
Volume ... 25.17 Å³/atom
Formation energy from raw total energies ... 96.0 kJ/mol of atoms

Cell lengths 4.960, 4.960, 5.115 Å; angles 90.00, 90.00, 90.00 degrees
Fractional coordinates of all 5 atoms:
Na 0.000 0.000 0.000
Ti 0.000 0.500 0.500
Ti 0.500 0.000 0.500
Pt 0.500 0.500 0.000
I 0.000 0.000 0.500

# 3
## PmHoMgAu (PBE)

Data for a geometry-optimized PmHoMgAu structure.

Calculated values
Total magnetic moment ... 0.00 μB per cell
DFT formation energy ... -390 meV/atom
SG ... F-43m, No. 216
Final energy ... -15.8 eV/cell
Volume ... 25.57 Å³/atom
Relative energy among the computed polymorphs ... 0.27 eV/f.u.

Cell lengths 5.249, 5.249, 5.249 Å; angles 60.00, 60.00, 60.00 degrees
Fractional coordinates of all 4 atoms:
Pm 0.000 0.000 0.000
Ho 0.500 0.500 0.500
Mg 0.250 0.250 0.250
Au 0.750 0.750 0.750

# 4
## SmDy4Er5 (PBE)

Data for a geometry-optimized SmDy4Er5 structure.

Calculated values
Total magnetic moment ... 0.02 μB per cell
DFT formation energy ... 306 meV/atom
SG ... I4, No. 79
Final energy ... -42.9 eV/cell
Volume ... 32.22 Å³/atom
Relative energy among the computed polymorphs ... 1.17 eV/f.u.

Cell lengths 7.831, 7.831, 7.831 Å; angles 99.16, 99.16, 132.96 degrees
Fractional coordinates of all 10 atoms:
Sm 0.000 0.000 0.000
Dy 0.118 0.819 0.398
Dy 0.421 0.720 0.602
Dy 0.720 0.118 0.299
Dy 0.819 0.421 0.701
Er 0.040 0.128 0.622
Er 0.128 0.505 0.088
Er 0.418 0.040 0.912
Er 0.505 0.418 0.378
Er 0.542 0.542 0.000

# 5
## CuSbRu2 (PBE)

Data for a geometry-optimized CuSbRu2 structure.

Calculated values
Total magnetic moment ... 0.53 μB per cell
SG ... P4/mmm, No. 123
Final energy ... -26.2 eV/cell
Volume ... 15.02 Å³/atom
Formation energy from raw total energies ... 14.3 kJ/mol of atoms

Cell lengths 4.359, 4.359, 3.162 Å; angles 90.00, 90.00, 90.00 degrees
Fractional coordinates of all 4 atoms:
Cu 0.000 0.000 0.000
Sb 0.500 0.500 0.000
Ru 0.000 0.500 0.500
Ru 0.500 0.000 0.500

# 6
## LaGeSe2I (PBE)

Data for a geometry-optimized LaGeSe2I structure.

Calculated values
Total magnetic moment ... 0.30 μB per cell
SG ... P4/mmm, No. 123
Final energy ... -19.4 eV/cell
Volume ... 40.92 Å³/atom
Formation energy from raw total energies ... -25.0 kJ/mol of atoms
Relative energy among the computed polymorphs ... 1.63 eV/f.u.

Cell lengths 5.728, 5.728, 6.235 Å; angles 90.00, 90.00, 90.00 degrees
Fractional coordinates of all 5 atoms:
La 0.000 0.000 0.000
Ge 0.500 0.500 0.500
Se 0.000 0.500 0.000
Se 0.500 0.000 0.000
I 0.000 0.000 0.500

# 7
## P2Os (PBE)

Data for a geometry-optimized P2Os structure.

Calculated values
Total magnetic moment ... 0.00 μB per cell
DFT formation energy ... 140 meV/atom
SG ... I4/mmm, No. 139
Final energy ... -21.6 eV/cell
Volume ... 15.75 Å³/atom

Cell lengths 6.098, 6.098, 6.098 Å; angles 152.81, 152.81, 38.82 degrees
Fractional coordinates of all 3 atoms:
P 0.132 0.132 0.000
P 0.868 0.868 0.000
Os 0.500 0.500 0.000

# 8
## CsMg4 (PBE)

Data for a geometry-optimized CsMg4 structure.

Calculated values
Total magnetic moment ... 0.00 μB per cell
DFT formation energy ... 1080 meV/atom
SG ... Pm-3m, No. 221
Final energy ... -1.8 eV/cell
Volume ... 74.50 Å³/atom

Cell lengths 7.195, 7.195, 7.195 Å; angles 90.00, 90.00, 90.00 degrees
Fractional coordinates of all 5 atoms:
Cs 0.000 0.000 0.000
Mg 0.000 0.000 0.500
Mg 0.000 0.500 0.000
Mg 0.500 0.000 0.000
Mg 0.500 0.500 0.500

# 9
## As2IrAu (PBE)

Data for a geometry-optimized As2IrAu structure.

Calculated values
Total magnetic moment ... 0.00 μB per cell
DFT formation energy ... 86 meV/atom
SG ... I-42d, No. 122
Final energy ... -42.2 eV/cell
Volume ... 23.12 Å³/atom
Relative energy among the computed polymorphs ... 0.55 eV/f.u.

Cell lengths 7.022, 7.022, 7.022 Å; angles 132.44, 132.44, 69.53 degrees
Fractional coordinates of all 8 atoms:
As 0.095 0.625 0.970
As 0.375 0.345 0.470
As 0.655 0.125 0.030
As 0.875 0.905 0.530
Ir 0.000 0.000 0.000
Ir 0.750 0.250 0.500
Au 0.250 0.750 0.500
Au 0.500 0.500 0.000

# 10
## TbSm4Dy2Tm (PBE)

Data for a geometry-optimized TbSm4Dy2Tm structure.

Calculated values
Total magnetic moment ... 0.00 μB per cell
DFT formation energy ... 17 meV/atom
SG ... P2/m, No. 10
Final energy ... -37.0 eV/cell
Volume ... 32.38 Å³/atom

Cell lengths 6.200, 3.585, 11.839 Å; angles 90.00, 100.16, 90.00 degrees
Fractional coordinates of all 8 atoms:
Tb 0.000 0.000 0.000
Sm 0.250 0.000 0.749
Sm 0.250 0.500 0.251
Sm 0.750 0.000 0.251
Sm 0.750 0.500 0.749
Dy 0.500 0.000 0.500
Dy 0.500 0.500 0.000
Tm 0.000 0.500 0.500